P:
Cr3IrBr | meta-GGA SCAN | single point on PBEsol structure

extended XYZ file:
```
5
Lattice="4.220 0.000 0.000 0.000 4.220 0.000 0.000 0.000 4.220" Properties=species:S:1:pos:R:3 pbc="T T T"
Cr 0.000 0.000 2.110
Cr 0.000 2.110 0.000
Cr 2.110 0.000 0.000
Ir 2.110 2.110 2.110
Br 0.000 0.000 0.000
```

Q:
Cr3IrBr | meta-GGA SCAN | single point on PBEsol structure

extended XYZ file:
```
5
Lattice="4.753 0.000 0.000 0.000 4.753 0.000 0.000 0.000 4.753" Properties=species:S:1:pos:R:3 pbc="T T T"
Cr 0.000 0.000 2.376
Cr 0.000 2.376 0.000
Cr 2.376 0.000 0.000
Ir 0.000 0.000 0.000
Br 2.376 2.376 2.376
```

Short version: P is the least stable of them.

P:
Cr2IrBr | meta-GGA SCAN | single point on PBEsol structure

extended XYZ file:
```
4
Lattice="2.999 0.000 0.000 0.000 3.083 0.000 0.000 0.000 6.788" Properties=species:S:1:pos:R:3 pbc="T T T"
Cr 0.000 0.000 0.000
Cr 1.499 1.542 1.474
Ir 0.000 0.000 2.685
Br 1.499 1.542 5.136
```

Q:
Cr2IrBr | meta-GGA SCAN | single point on PBEsol structure

extended XYZ file:
```
4
Lattice="0.000 2.997 2.997 2.997 0.000 2.997 2.997 2.997 0.000" Properties=species:S:1:pos:R:3 pbc="T T T"
Cr 1.498 1.498 1.498
Cr 4.495 4.495 4.495
Ir 0.000 0.000 0.000
Br 2.997 2.997 2.997
```

Short version: Q is the least stable of them.

P:
LiCr2Br | meta-GGA SCAN | single point on PBEsol structure

extended XYZ file:
```
4
Lattice="3.209 0.000 0.000 0.000 3.209 0.000 0.000 0.000 6.511" Properties=species:S:1:pos:R:3 pbc="T T T"
Li 0.000 0.000 0.000
Cr 0.000 0.000 3.730
Cr 1.604 1.604 4.760
Br 1.604 1.604 0.967
```

Q:
LiCr2Br | meta-GGA SCAN | single point on PBEsol structure

extended XYZ file:
```
8
Lattice="-1.674 1.674 10.134 1.674 -1.674 10.134 1.674 1.674 -10.134" Properties=species:S:1:pos:R:3 pbc="T T T"
Li 0.000 0.000 0.000
Li 0.000 1.674 5.067
Cr 0.837 -0.712 7.600
Cr 0.962 0.837 2.533
Cr 0.837 2.386 -2.533
Cr 0.712 0.837 12.667
Br 1.674 0.000 5.067
Br 0.000 0.000 10.134
```

Short version: Q is the least stable of them.

P:
Mn2CrBr | meta-GGA SCAN | single point on PBEsol structure

extended XYZ file:
```
4
Lattice="4.279 0.000 0.000 0.000 4.279 0.000 0.000 0.000 2.877" Properties=species:S:1:pos:R:3 pbc="T T T"
Mn 0.000 2.139 0.000
Mn 2.139 0.000 0.000
Cr 0.000 0.000 1.438
Br 2.139 2.139 1.438
```

Q:
Mn2CrBr | meta-GGA SCAN | single point on PBEsol structure

extended XYZ file:
```
4
Lattice="-1.918 1.918 3.897 1.918 -1.918 3.897 1.918 1.918 -3.897" Properties=species:S:1:pos:R:3 pbc="T T T"
Mn 1.918 0.000 1.949
Mn 0.000 1.918 1.949
Cr 0.000 0.000 0.000
Br 0.000 0.000 3.897
```

Short version: P is the least stable of them.

P:
CrBrN2 | meta-GGA SCAN | single point on PBEsol structure

extended XYZ file:
```
4
Lattice="1.490 0.860 6.076 -1.490 0.860 6.076 0.000 -1.720 6.076" Properties=species:S:1:pos:R:3 pbc="T T T"
Cr 0.000 0.000 0.000
Br 0.000 0.000 9.114
N 0.000 0.000 7.061
N 0.000 0.000 11.168
```

Q:
CrBrN2 | meta-GGA SCAN | single point on PBEsol structure

extended XYZ file:
```
8
Lattice="0.000 3.966 3.966 3.966 0.000 3.966 3.966 3.966 0.000" Properties=species:S:1:pos:R:3 pbc="T T T"
Cr 0.991 0.991 0.991
Cr 6.940 6.940 6.940
Br 2.974 2.974 2.974
Br 4.957 4.957 4.957
N 0.000 0.000 0.000
N 1.983 1.983 0.000
N 1.983 0.000 1.983
N 0.000 1.983 1.983
```

Short version: P is the least stable of them.

P:
CrOs2Br | meta-GGA SCAN | single point on PBEsol structure

extended XYZ file:
```
4
Lattice="1.393 -2.267 0.000 1.393 2.267 0.000 0.000 0.000 10.547" Properties=species:S:1:pos:R:3 pbc="T T T"
Cr 0.000 0.000 0.000
Os 1.393 0.000 2.018
Os 1.393 0.000 8.529
Br 0.000 0.000 5.273
```

Q:
CrOs2Br | meta-GGA SCAN | single point on PBEsol structure

extended XYZ file:
```
4
Lattice="2.940 -3.402 0.000 2.940 3.402 0.000 0.000 0.000 2.884" Properties=species:S:1:pos:R:3 pbc="T T T"
Cr 0.000 0.000 0.000
Os 1.470 1.701 1.442
Os 1.470 -1.701 1.442
Br 2.940 0.000 0.000
```

Short version: Q is the least stable of them.